First-principles (PBE) data for a relaxed K2RuF7 crystal, as listed in Alexandria via LeMat-Bulk.

Calculated values
- total magnetization (Bohr magnetons per cell) = 2.005
- symmetry = No. 15
- formation energy (no corrections) (eV per atom) = -2.1537
- raw total energy (Ry/atom) = -0.3389

a = 7.4750 Å, b = 7.4750 Å, c = 9.8820 Å
α = 125.76°, β = 125.76°, γ = 51.08°
Last column: nearest neighbours and their distance in Å.
Fractional positions:
K: 0.0021 0.6929 0.7710  8 F 2.68-2.95
K: 0.3071 0.9979 0.7290  8 F 2.68-2.95
K: 0.6929 0.0021 0.2710  8 F 2.68-2.95
K: 0.9979 0.3071 0.2290  8 F 2.68-2.95
Ru: 0.3024 0.6976 0.2500  7 F 1.93-1.99
Ru: 0.6976 0.3024 0.7500  7 F 1.93-1.99
F: 0.0266 0.1299 0.9033  1 Ru 1.99
F: 0.1299 0.0266 0.4033  1 Ru 1.99
F: 0.1838 0.5870 0.3077  1 Ru 1.96
F: 0.2483 0.4626 0.0122  1 Ru 1.93
F: 0.3915 0.6085 0.7500  1 Ru 1.97
F: 0.4130 0.8162 0.1923  1 Ru 1.96
F: 0.4626 0.2483 0.5122  1 Ru 1.93
F: 0.5374 0.7517 0.4878  1 Ru 1.93
F: 0.5870 0.1838 0.8077  1 Ru 1.96
F: 0.6085 0.3915 0.2500  1 Ru 1.97
F: 0.7517 0.5374 0.9878  1 Ru 1.93
F: 0.8162 0.4130 0.6923  1 Ru 1.96
F: 0.8701 0.9734 0.5967  1 Ru 1.99
F: 0.9734 0.8701 0.0967  1 Ru 1.99

***

First-principles (PBE) data for a relaxed K2RuF crystal, as listed in Alexandria via LeMat-Bulk.

Calculated values
- total magnetization (Bohr magnetons per cell) = 3.000
- symmetry = No. 225
- energy above the lowest structure with this stoichiometry (meV/atom) = 313
- formation energy (no corrections) (eV per atom) = 0.1904
- raw total energy (Ry/atom) = -0.2312

a = 5.4913 Å, b = 5.4913 Å, c = 5.4913 Å
α = 60.00°, β = 60.00°, γ = 60.00°
Last column: nearest neighbours and their distance in Å.
Fractional positions:
K: 0.2500 0.2500 0.2500  4 F 3.36, 4 Ru 3.36
K: 0.7500 0.7500 0.7500  4 F 3.36, 4 Ru 3.36
Ru: 0.0000 0.0000 0.0000  8 K 3.36
F: 0.5000 0.5000 0.5000  8 K 3.36

***

First-principles (PBE) data for a relaxed KRu3F crystal, as listed in Alexandria via LeMat-Bulk.

Calculated values
- total magnetization (Bohr magnetons per cell) = 7.416
- symmetry = No. 221
- energy above the lowest structure with this stoichiometry (meV/atom) = 0
- formation energy (no corrections) (eV per atom) = 1.3745
- raw total energy (Ry/atom) = -0.3517

a = 4.5613 Å, b = 4.5613 Å, c = 4.5613 Å
α = 90.00°, β = 90.00°, γ = 90.00°
Last column: nearest neighbours and their distance in Å.
Fractional positions:
K: 0.0000 0.0000 0.0000  12 Ru 3.23
Ru: 0.0000 0.5000 0.5000  2 F 2.28
Ru: 0.5000 0.0000 0.5000  2 F 2.28
Ru: 0.5000 0.5000 0.0000  2 F 2.28
F: 0.5000 0.5000 0.5000  6 Ru 2.28

***

First-principles (PBE) data for a relaxed KRuF6 crystal, as listed in Alexandria via LeMat-Bulk.

Calculated values
- total magnetization (Bohr magnetons per cell) = 3.000
- symmetry = No. 12
- formation energy (no corrections) (eV per atom) = -2.1207
- raw total energy (Ry/atom) = -0.3543

a = 5.1362 Å, b = 5.1362 Å, c = 5.3161 Å
α = 102.04°, β = 102.04°, γ = 90.44°
Last column: nearest neighbours and their distance in Å.
Fractional positions:
K: 0.0000 0.0000 0.0000  6 F 2.78-2.88
Ru: 0.5000 0.5000 0.5000  6 F 1.90
F: 0.2362 0.6002 0.2343  1 Ru 1.90
F: 0.2466 0.2466 0.5358  1 Ru 1.90
F: 0.3998 0.7638 0.7657  1 Ru 1.90
F: 0.6002 0.2362 0.2343  1 Ru 1.90
F: 0.7534 0.7534 0.4642  1 Ru 1.90
F: 0.7638 0.3998 0.7657  1 Ru 1.90

***

Which of these has the highest total magnetization? KRu3F

***

Which value of formation energy (no corrections) does entry 3 give? 1.3745 eV per atom